Material: Sn3Pb
Method: DFT, GGA-PBE
State: optimized geometry

The space group is P2_1/m (No. 11) and the conventional cell measures 5.922, 3.379 and 11.479 Å, with angles of 90.00, 90.07 and 90.00 degrees. The distinct sites, in fractional coordinates, are Sn at (0.002, 0.250, 0.376), Sn at (0.012, 0.750, 0.125), Sn at (0.487, 0.750, 0.881) and Pb at (0.498, 0.250, 0.631).

The magnetization comes out at 0.0 μB per cell. Its total energy is -15.508 eV per formula unit. The value obtained for the energy of formation from the pure elements is 0.05 eV/atom. The density of states at the Fermi level is 0.43 states/eV per atom.



Material: HfFeH4
Method: DFT, GGA-PBE
State: optimized geometry

The space group is C2/c (No. 15) and the conventional cell measures 4.652, 8.021 and 5.392 Å, with angles of 90.00, 114.21 and 90.00 degrees. The distinct sites, in fractional coordinates, are Hf at (0.000, 0.120, 0.250), Fe at (0.000, 0.455, 0.250), H at (0.006, 0.378, 0.952) and H at (0.155, 0.122, 0.663).

The magnetization comes out at 0.0 μB per cell. Its total energy is -33.054 eV per formula unit. The energy above the most stable polymorph in this dataset comes out at 0.0 meV per atom. The density of states at the Fermi level is 0.10 states/eV per atom.



Material: LiAs2SeBr
Method: DFT, GGA-PBE
State: optimized geometry

The space group is P4/mmm (No. 123) and the conventional cell measures 4.895, 4.895 and 4.460 Å, with angles of 90.00, 90.00 and 90.00 degrees. The distinct sites, in fractional coordinates, are Li at (0.000, 0.000, 0.000), As at (0.000, 0.500, 0.000), Se at (0.500, 0.500, 0.500) and Br at (0.000, 0.000, 0.500).

The magnetization comes out at 0.0 μB per cell. Its total energy is -14.090 eV per formula unit. The energy above the most stable polymorph in this dataset comes out at 155.4 meV per atom. The uncorrected formation energy is 0.4560 eV/atom. The density of states at the Fermi level is 0.86 states/eV per atom.



Material: Mg2TcOs
Method: DFT, GGA-PBE
State: optimized geometry

The space group is R3m (No. 160, hexagonal axes) and the conventional cell measures 2.8514, 2.8514 and 28.6425 Å, with angles of 90.00, 90.00 and 120.00 degrees. The distinct sites, in fractional coordinates, are Mg at (0.0000, 0.0000, 0.0000), Mg at (0.0000, 0.0000, 0.2344), Tc at (0.0000, 0.0000, 0.4854) and Os at (0.0000, 0.0000, 0.7477).

The magnetization comes out at 0.0 μB per cell. Its total energy is -24.160 eV per formula unit. The energy above the most stable polymorph in this dataset comes out at 139.4 meV per atom. The value obtained for the energy of formation from the pure elements is 0.16 eV/atom. The density of states at the Fermi level is 0.68 states/eV per atom.



Material: K3Na3ZnCl8
Method: DFT, GGA-PBE
State: optimized geometry

The space group is R-3m (No. 166, hexagonal axes) and the conventional cell measures 8.2203, 8.2203 and 21.5193 Å, with angles of 90.00, 90.00 and 120.00 degrees. The distinct sites, in fractional coordinates, are K at (0.0000, 0.5000, 0.0000), Na at (0.0000, 0.5000, 0.5000), Zn at (0.0000, 0.0000, 0.5000), Cl at (0.0000, 0.0000, 0.2403) and Cl at (0.0382, 0.5191, 0.2324).

The magnetization comes out at 0.0 μB per cell. Its total energy is -48.927 eV per formula unit. The uncorrected formation energy is -1.7087 eV/atom. The density of states at the Fermi level is 0.00 states/eV per atom.



Material: PuCrSnRu
Method: DFT, GGA-PBE
State: optimized geometry

The space group is F-43m (No. 216) and the conventional cell measures 6.601, 6.601 and 6.601 Å, with angles of 90.00, 90.00 and 90.00 degrees. The distinct sites, in fractional coordinates, are Pu at (0.000, 0.000, 0.000), Cr at (0.250, 0.250, 0.750), Sn at (0.000, 0.000, 0.500) and Ru at (0.250, 0.250, 0.250).

The magnetization comes out at 8.3 μB per cell. Its total energy is -37.668 eV per formula unit. The value obtained for the energy of formation from the pure elements is -0.11 eV/atom. The density of states at the Fermi level is 1.35 states/eV per atom.



Material: Na12Tl2Hg5
Method: DFT, GGA-PBE
State: optimized geometry

The space group is C2/m (No. 12) and the conventional cell measures 12.894, 10.615 and 8.524 Å, with angles of 90.00, 101.23 and 90.00 degrees. The distinct sites, in fractional coordinates, are Na at (0.101, 0.000, 0.158), Na at (0.107, 0.500, 0.761), Na at (0.108, 0.266, 0.393), Na at (0.174, 0.171, 0.806), Tl at (0.000, 0.274, 0.000), Hg at (0.000, 0.000, 0.500), Hg at (0.129, 0.500, 0.152) and Hg at (0.240, 0.000, 0.502).

The magnetization comes out at 0.0 μB per cell. Its total energy is -24.841 eV per formula unit. The value obtained for the energy of formation from the pure elements is -0.15 eV/atom. The density of states at the Fermi level is 0.49 states/eV per atom.



Material: Ce2ZnBi
Method: DFT, GGA-PBE
State: optimized geometry

The space group is Fm-3m (No. 225) and the conventional cell measures 7.630, 7.630 and 7.630 Å, with angles of 90.00, 90.00 and 90.00 degrees. The distinct sites, in fractional coordinates, are Ce at (0.250, 0.250, 0.250), Zn at (0.000, 0.000, 0.000) and Bi at (0.000, 0.000, 0.500).

The magnetization comes out at 11.0 μB per cell. Its total energy is -18.381 eV per formula unit. The energy above the most stable polymorph in this dataset comes out at 77.3 meV per atom. The value obtained for the energy of formation from the pure elements is -0.34 eV/atom. The density of states at the Fermi level is 3.87 states/eV per atom.



Material: Be3NbCo
Method: DFT, GGA-PBE
State: optimized geometry

The space group is Pm-3m (No. 221) and the conventional cell measures 4.315, 4.315 and 4.315 Å, with angles of 90.00, 90.00 and 90.00 degrees. The distinct sites, in fractional coordinates, are Be at (0.000, 0.000, 0.500), Nb at (0.000, 0.000, 0.000) and Co at (0.500, 0.500, 0.500).

The magnetization comes out at 1.7 μB per cell. Its total energy is -19.034 eV per formula unit. The energy above the most stable polymorph in this dataset comes out at 2034.9 meV per atom. The value obtained for the energy of formation from the pure elements is 1.86 eV/atom. The density of states at the Fermi level is 1.74 states/eV per atom.



Material: ErInCo2
Method: DFT, GGA-PBE
State: optimized geometry

The space group is Fm-3m (No. 225) and the conventional cell measures 6.388, 6.388 and 6.388 Å, with angles of 90.00, 90.00 and 90.00 degrees. The distinct sites, in fractional coordinates, are Er at (0.000, 0.000, 0.000), In at (0.000, 0.000, 0.500) and Co at (0.250, 0.250, 0.250).

The magnetization comes out at 0.0 μB per cell. Its total energy is -22.079 eV per formula unit. The value obtained for the energy of formation from the pure elements is -0.14 eV/atom. The density of states at the Fermi level is 0.27 states/eV per atom.



Material: MgTi2SbH
Method: DFT, GGA-PBE
State: optimized geometry

The space group is P4/mmm (No. 123) and the conventional cell measures 4.114, 4.114 and 4.440 Å, with angles of 90.00, 90.00 and 90.00 degrees. The distinct sites, in fractional coordinates, are Mg at (0.000, 0.000, 0.000), Ti at (0.000, 0.500, 0.500), Sb at (0.500, 0.500, 0.000) and H at (0.000, 0.000, 0.500).

The magnetization comes out at 0.0 μB per cell. Its total energy is -26.116 eV per formula unit. The density of states at the Fermi level is 0.51 states/eV per atom.



Material: U2Ga3Ge3
Method: DFT, GGA-PBE
State: optimized geometry

The space group is Pmmm (No. 47) and the conventional cell measures 4.228, 4.330 and 8.215 Å, with angles of 90.00, 90.00 and 90.00 degrees. The distinct sites, in fractional coordinates, are U at (0.000, 0.000, 0.245), Ga at (0.000, 0.500, 0.500), Ga at (0.500, 0.500, 0.254), Ge at (0.000, 0.500, 0.000), Ge at (0.500, 0.000, 0.000) and Ge at (0.500, 0.000, 0.500).

The magnetization comes out at 2.1 μB per cell. Its total energy is -47.949 eV per formula unit. The value obtained for the energy of formation from the pure elements is -0.30 eV/atom. The density of states at the Fermi level is 1.20 states/eV per atom.



Repeat the fourth record exactly.
Material: Mg2TcOs
Method: DFT, GGA-PBE
State: optimized geometry

The space group is R3m (No. 160, hexagonal axes) and the conventional cell measures 2.8514, 2.8514 and 28.6425 Å, with angles of 90.00, 90.00 and 120.00 degrees. The distinct sites, in fractional coordinates, are Mg at (0.0000, 0.0000, 0.0000), Mg at (0.0000, 0.0000, 0.2344), Tc at (0.0000, 0.0000, 0.4854) and Os at (0.0000, 0.0000, 0.7477).

The magnetization comes out at 0.0 μB per cell. Its total energy is -24.160 eV per formula unit. The energy above the most stable polymorph in this dataset comes out at 139.4 meV per atom. The value obtained for the energy of formation from the pure elements is 0.16 eV/atom. The density of states at the Fermi level is 0.68 states/eV per atom.



Repeat the third record exactly.
Material: LiAs2SeBr
Method: DFT, GGA-PBE
State: optimized geometry

The space group is P4/mmm (No. 123) and the conventional cell measures 4.895, 4.895 and 4.460 Å, with angles of 90.00, 90.00 and 90.00 degrees. The distinct sites, in fractional coordinates, are Li at (0.000, 0.000, 0.000), As at (0.000, 0.500, 0.000), Se at (0.500, 0.500, 0.500) and Br at (0.000, 0.000, 0.500).

The magnetization comes out at 0.0 μB per cell. Its total energy is -14.090 eV per formula unit. The energy above the most stable polymorph in this dataset comes out at 155.4 meV per atom. The uncorrected formation energy is 0.4560 eV/atom. The density of states at the Fermi level is 0.86 states/eV per atom.